# 1
Entry from Alexandria via LeMat-Bulk: a relaxed structure of RbSO2 (PBE).

Structure (extended XYZ):
```
16
Lattice="-0.695 -4.812 -4.135 -3.286 -4.060 5.277 -7.371 3.015 -2.270" Properties=species:S:1:pos:R:3 pbc="T T T"
Rb -3.460 -3.294 1.951
Rb -7.891 -2.564 -3.079
Rb -3.454 -3.142 -3.152
Rb -7.898 -2.715 2.024
S -1.171 -1.627 -0.373
S -10.181 -4.231 -0.755
S -5.864 -4.958 -0.634
S -5.488 -0.900 -0.494
O -1.591 -1.053 0.980
O -9.761 -4.805 -2.107
O -6.181 -6.443 -0.802
O -9.486 -2.900 -0.471
O -5.171 0.585 -0.326
O -1.866 -2.958 -0.657
O -5.446 -1.319 -1.962
O -5.906 -4.538 0.835
```

## Properties
Mass density: 2.53 g cm⁻³
Raw formation energy: -1401.0 meV per atom
Calculated total energy: -82.5 eV for the cell shown
SG: Pnma
Magnetization: 0.250 μB per atom

# 2
Entry from Alexandria via LeMat-Bulk: a relaxed structure of NbAlPCl2 (PBE).

Structure (extended XYZ):
```
5
Lattice="4.953 0.000 0.000 0.000 4.953 0.000 0.000 0.000 4.912" Properties=species:S:1:pos:R:3 pbc="T T T"
P 0.000 0.000 2.456
Nb 0.000 0.000 0.000
Al 2.476 2.476 2.456
Cl 0.000 2.476 0.000
Cl 2.476 0.000 0.000
```

## Properties
Mass density: 3.06 g cm⁻³
Raw formation energy: -169.2 meV per atom
Calculated total energy: -23.8 eV for the cell shown
Energy relative to the lowest polymorph listed for this composition: 0 meV/atom
SG: P4/mmm
Magnetization: 0.041 μB per atom

# 3
Entry from Alexandria via LeMat-Bulk: a relaxed structure of HoPa3Tl4O12 (PBE).

Structure (extended XYZ):
```
20
Lattice="7.626 0.000 0.000 -2.542 7.190 0.000 -2.542 -3.595 6.227" Properties=species:S:1:pos:R:3 pbc="T T T"
Ho 0.000 0.000 0.000
Pa 2.542 -1.798 3.113
Pa 2.542 3.595 0.000
Pa -2.542 1.798 3.113
Tl 1.271 1.798 3.113
Tl -1.271 -1.798 3.113
Tl 3.813 0.000 0.000
Tl -1.271 3.595 0.000
O -1.271 0.899 4.670
O 3.773 -2.668 4.621
O 1.311 -0.927 1.605
O 3.813 2.696 1.557
O 3.773 5.336 0.000
O 1.311 1.854 0.000
O 3.813 0.000 3.113
O -1.271 3.595 3.113
O 1.271 -0.899 4.670
O -3.773 2.668 4.621
O 1.271 4.494 1.557
O -1.311 0.927 1.605
```

## Properties
Mass density: 9.08 g cm⁻³
Raw formation energy: -2488.7 meV per atom
Calculated total energy: -151.8 eV for the cell shown
SG: Im-3m
Magnetization: 0.000 μB per atom

# 4
Entry from Alexandria via LeMat-Bulk: a relaxed structure of ErScCu2 (PBE).

Structure (extended XYZ):
```
4
Lattice="-2.891 1.349 -1.010 -0.934 -2.953 -1.268 -2.801 -1.624 5.849" Properties=species:S:1:pos:R:3 pbc="T T T"
Sc -1.913 -0.802 -1.139
Cu -2.169 -1.257 4.528
Cu -0.633 -0.367 1.321
Er -3.314 -1.614 1.786
```

## Properties
Mass density: 7.52 g cm⁻³
Calculated total energy: -20.2 eV for the cell shown
Energy relative to the lowest polymorph listed for this composition: 0 meV/atom
SG: P4/mmm
DFT formation energy: -269 meV/atom
Magnetization: 0.000 μB per atom

# 5
Entry from Alexandria via LeMat-Bulk: a relaxed structure of ZrPRhO2 (PBE).

Structure (extended XYZ):
```
5
Lattice="-0.499 -3.481 -1.813 3.451 -1.260 1.470 -2.712 -2.023 4.632" Properties=species:S:1:pos:R:3 pbc="T T T"
P -1.356 -1.011 2.316
Rh 0.120 -3.382 2.145
O 1.725 -0.630 0.735
O -0.250 -1.741 -0.906
Zr 0.000 0.000 0.000
```

## Properties
Mass density: 4.75 g cm⁻³
Raw formation energy: -869.8 meV per atom
Calculated total energy: -35.6 eV for the cell shown
Energy relative to the lowest polymorph listed for this composition: 0 meV/atom
SG: P4/mmm
Magnetization: 0.363 μB per atom

# 6
Entry from Alexandria via LeMat-Bulk: a relaxed structure of TaRePS2 (PBE).

Structure (extended XYZ):
```
5
Lattice="-4.174 -1.675 -1.297 2.003 -2.187 -3.621 0.745 -4.089 2.883" Properties=species:S:1:pos:R:3 pbc="T T T"
Re -0.713 -3.976 -1.018
S 1.002 -1.094 -1.810
S -2.087 -0.837 -0.649
P 0.372 -2.045 1.441
Ta 0.000 0.000 0.000
```

## Properties
Mass density: 6.93 g cm⁻³
Raw formation energy: 933.4 meV per atom
Calculated total energy: -33.3 eV for the cell shown
Energy relative to the lowest polymorph listed for this composition: 0 meV/atom
SG: P4/mmm
Magnetization: 0.976 μB per atom

# 7
Entry from Alexandria via LeMat-Bulk: a relaxed structure of Li4TmHg2 (PBE).

Structure (extended XYZ):
```
7
Lattice="4.297 0.000 0.000 0.000 3.543 -0.781 0.000 0.240 9.519" Properties=species:S:1:pos:R:3 pbc="T T T"
Li 2.149 3.015 5.254
Li 0.000 2.471 2.784
Li 2.149 0.768 3.484
Li 0.000 1.312 5.954
Tm 0.000 0.000 0.000
Hg 2.149 2.101 1.106
Hg 2.149 1.682 7.632
```

## Properties
Mass density: 6.81 g cm⁻³
Calculated total energy: -14.3 eV for the cell shown
SG: Cmmm
DFT formation energy: -223 meV/atom
Magnetization: 0.000 μB per atom

# 8
Entry from Alexandria via LeMat-Bulk: a relaxed structure of BaIn2Sb4 (PBE).

Structure (extended XYZ):
```
28
Lattice="4.601 0.000 0.000 0.000 10.370 0.000 0.000 0.000 19.879" Properties=species:S:1:pos:R:3 pbc="T T T"
Ba 3.451 7.784 18.984
Ba 1.150 2.586 0.895
Ba 1.150 7.771 9.045
Ba 3.451 2.599 10.834
In 3.451 8.827 12.637
In 1.150 1.543 7.242
In 1.150 6.728 2.697
In 3.451 3.642 17.182
In 3.451 9.057 5.392
In 1.150 1.313 14.487
In 1.150 6.498 15.331
In 3.451 3.872 4.548
Sb 3.451 10.347 8.013
Sb 1.150 0.023 11.865
Sb 1.150 5.209 17.953
Sb 3.451 5.162 1.926
Sb 3.451 6.252 11.349
Sb 1.150 4.119 8.529
Sb 1.150 9.304 1.410
Sb 3.451 1.067 18.469
Sb 3.451 5.411 7.095
Sb 1.150 4.960 12.784
Sb 1.150 10.145 17.034
Sb 3.451 0.226 2.844
Sb 3.451 8.291 15.427
Sb 1.150 2.080 4.452
Sb 1.150 7.265 5.487
Sb 3.451 3.106 14.392
```

## Properties
Mass density: 5.98 g cm⁻³
Raw formation energy: -361.3 meV per atom
Calculated total energy: -105.7 eV for the cell shown
SG: Pnma
Magnetization: 0.000 μB per atom

# 9
Entry from Alexandria via LeMat-Bulk: a relaxed structure of TbDyZn3 (PBE).

Structure (extended XYZ):
```
10
Lattice="3.555 0.000 -0.489 0.000 4.479 0.000 0.057 0.000 13.572" Properties=species:S:1:pos:R:3 pbc="T T T"
Tb 3.346 3.359 11.148
Tb 0.266 1.120 1.935
Dy 0.768 3.359 5.577
Dy 2.845 1.120 7.505
Zn 2.211 3.359 2.907
Zn 1.401 1.120 10.176
Zn 1.863 3.359 0.375
Zn 1.750 1.120 12.708
Zn 2.405 1.120 4.316
Zn 1.207 3.359 8.767
```

## Properties
Mass density: 7.95 g cm⁻³
Calculated total energy: -29.5 eV for the cell shown
SG: Cmcm
DFT formation energy: -336 meV/atom
Magnetization: 0.000 μB per atom

# 10
Entry from Alexandria via LeMat-Bulk: a relaxed structure of Mg7Hg4Bi (PBE).

Structure (extended XYZ):
```
12
Lattice="-1.169 -3.415 -4.227 -0.068 -7.906 2.751 -6.887 -2.839 0.544" Properties=species:S:1:pos:R:3 pbc="T T T"
Mg -4.599 -11.110 -0.717
Mg -3.526 -3.050 -0.215
Mg -1.998 -5.661 1.471
Mg -6.127 -8.499 -2.403
Mg -5.751 -8.734 1.337
Mg -0.585 -1.708 -2.114
Mg -2.374 -5.426 -2.269
Hg -4.875 -5.894 -1.200
Hg -3.250 -8.266 0.267
Hg -7.480 -10.251 -0.613
Hg -0.645 -3.908 -0.319
Bi 0.000 0.000 0.000
```

## Properties
Mass density: 6.77 g cm⁻³
Calculated total energy: -17.2 eV for the cell shown
SG: C2/m
DFT formation energy: -80 meV/atom
Magnetization: 0.000 μB per atom

# 11
Entry from Alexandria via LeMat-Bulk: a relaxed structure of AlCd2Ir2 (PBE).

Structure (extended XYZ):
```
10
Lattice="-0.081 3.294 5.463 -5.166 -3.239 1.876 2.596 -3.053 1.879" Properties=species:S:1:pos:R:3 pbc="T T T"
Ir -4.471 -1.600 3.579
Ir -3.377 0.759 5.899
Ir -0.776 1.655 3.760
Ir -1.870 -0.704 1.441
Al 0.000 0.000 0.000
Al -2.624 0.027 3.670
Cd -2.160 -3.137 3.101
Cd -3.061 -2.030 6.145
Cd -0.492 0.139 6.118
Cd 0.410 -0.968 3.073
```

## Properties
Mass density: 11.73 g cm⁻³
Calculated total energy: -48.8 eV for the cell shown
SG: P4/mbm
DFT formation energy: -217 meV/atom
Magnetization: 0.000 μB per atom

# 12
Entry from Alexandria via LeMat-Bulk: a relaxed structure of Pm9In3N2 (PBE).

Structure (extended XYZ):
```
14
Lattice="-3.460 6.028 1.349 -1.803 -5.951 3.386 5.680 1.854 6.283" Properties=species:S:1:pos:R:3 pbc="T T T"
Pm 1.730 -2.665 7.259
Pm 2.611 0.244 5.604
Pm -2.632 0.039 2.367
Pm -2.195 1.686 5.414
Pm 0.379 1.648 3.099
Pm 0.038 0.282 7.919
Pm -1.313 4.596 3.759
Pm -0.902 -2.975 1.693
Pm -1.730 3.014 0.675
In 0.878 3.271 6.216
In 0.000 0.000 0.000
In -0.462 -1.340 4.802
N -1.948 2.348 3.089
N 2.365 -0.417 7.929
```

## Properties
Mass density: 7.40 g cm⁻³
Raw formation energy: -696.1 meV per atom
Calculated total energy: -77.4 eV for the cell shown
SG: P-3m1
Magnetization: 0.000 μB per atom